No. 1
Computed, not measured: Cu2AgO4 after structural relaxation at the PBE-GGA level of DFT.

Computed properties:
Space-group type: No. 2
Calculated volume, Å³/cell: 94.5
M_tot, μB per atom: 0.000
VASP energy, eV/atom: -4.744
Relative energy among the computed polymorphs, meV/atom: 0.0
Energy relative to the elements, uncorrected, meV/atom: -333

Unit cell a=4.1312 b=4.3353 c=5.3351 alpha=87.57 beta=88.37 gamma=81.92
Closest atoms and distances in Å follow each position.
Sites, in units of the cell vectors:
1 Cu 0.0000 0.5000 0.5000  4 O 1.86
2 Cu 0.5000 0.0000 0.5000  4 O 1.85
3 Ag 0.0000 0.0000 0.0000  4 O 2.12
4 O 0.2571 0.2499 0.7301  2 Cu 1.85-1.86
5 O 0.7724 0.7671 0.7281  2 Cu 1.85-1.86
6 O 0.7429 0.7501 0.2699  2 Cu 1.85-1.86
7 O 0.2276 0.2329 0.2719  2 Cu 1.85-1.86

=====

No. 2
Computed, not measured: CuAg5O4 after structural relaxation at the PBE-GGA level of DFT.

Computed properties:
Space-group type: No. 59
Calculated volume, Å³/cell: 293.0
M_tot, μB per atom: 0.000
VASP energy, eV/atom: -3.839
Energy relative to the elements, uncorrected, meV/atom: -20

Unit cell a=4.6043 b=7.2386 c=8.7902 alpha=90.00 beta=90.00 gamma=90.00
Closest atoms and distances in Å follow each position.
Sites, in units of the cell vectors:
1 Cu 0.7514 0.0000 0.0000  4 O 1.89-1.94
2 Cu 0.2486 0.5000 0.5000  4 O 1.89-1.94
3 Ag 0.2544 0.7977 0.8376  3 O 2.29-2.48
4 Ag 0.2544 0.2023 0.8376  3 O 2.29-2.48
5 Ag 0.9139 0.5000 0.0000  2 O 2.22
6 Ag 0.2544 0.7977 0.1624  3 O 2.29-2.48
7 Ag 0.2544 0.2023 0.1624  3 O 2.29-2.48
8 Ag 0.7456 0.7023 0.3376  3 O 2.29-2.48
9 Ag 0.7456 0.2977 0.3376  3 O 2.29-2.48
10 Ag 0.0861 0.0000 0.5000  2 O 2.22
11 Ag 0.7456 0.2977 0.6624  3 O 2.29-2.48
12 Ag 0.7456 0.7023 0.6624  3 O 2.29-2.48
13 O 0.8649 0.0000 0.7876  1 Cu 1.94
14 O 0.6348 0.7494 0.0000  1 Cu 1.89
15 O 0.6348 0.2506 0.0000  1 Cu 1.89
16 O 0.8649 0.0000 0.2124  1 Cu 1.94
17 O 0.1351 0.5000 0.2876  1 Cu 1.94
18 O 0.3652 0.7506 0.5000  1 Cu 1.89
19 O 0.3652 0.2494 0.5000  1 Cu 1.89
20 O 0.1351 0.5000 0.7124  1 Cu 1.94

=====

No. 3
Computed, not measured: CuAg2O after structural relaxation at the PBE-GGA level of DFT.

Computed properties:
Space-group type: No. 122
Calculated volume, Å³/cell: 149.4
M_tot, μB per atom: 0.000
VASP energy, eV/atom: -3.228
Energy relative to the elements, uncorrected, meV/atom: 461

Unit cell a=4.7505 b=4.7505 c=7.4234 alpha=71.34 beta=71.34 gamma=90.00
Closest atoms and distances in Å follow each position.
Sites, in units of the cell vectors:
1 O 0.5000 0.5000 0.0000  4 Ag 2.18
2 O 0.2500 0.7500 0.5000  4 Ag 2.18
3 Cu 0.0000 0.0000 0.0000  4 Ag 2.58
4 Cu 0.7500 0.2500 0.5000  4 Ag 2.58
5 Ag 0.5413 0.1250 0.2500  2 O 2.18
6 Ag 0.2087 0.6250 0.2500  2 O 2.18
7 Ag 0.3750 0.4587 0.7500  2 O 2.18
8 Ag 0.8750 0.7913 0.7500  2 O 2.18

=====

No. 4
Computed, not measured: Cu2AgO2 after structural relaxation at the PBE-GGA level of DFT.

Computed properties:
Space-group type: No. 71
Calculated volume, Å³/cell: 62.2
M_tot, μB per atom: 0.000
VASP energy, eV/atom: -4.422
Energy relative to the elements, uncorrected, meV/atom: -230

Unit cell a=3.6245 b=3.6765 c=5.3353 alpha=110.15 beta=109.86 gamma=90.00
Closest atoms and distances in Å follow each position.
Sites, in units of the cell vectors:
1 Cu 0.3522 0.3522 0.7045  2 O 1.85
2 Cu 0.6478 0.6478 0.2955  2 O 1.85
3 Ag 0.0000 0.0000 0.0000  4 O 2.43
4 O 0.6739 0.1739 0.3479  2 Cu 1.85
5 O 0.3261 0.8261 0.6521  2 Cu 1.85

=====

No. 5
Computed, not measured: Cu5AgO8 after structural relaxation at the PBE-GGA level of DFT.

Computed properties:
Space-group type: No. 216
Calculated volume, Å³/cell: 152.7
M_tot, μB per atom: 0.341
VASP energy, eV/atom: -4.827
Energy relative to the elements, uncorrected, meV/atom: -327

Unit cell a=6.0000 b=6.0000 c=6.0000 alpha=60.00 beta=60.00 gamma=60.00
Closest atoms and distances in Å follow each position.
Sites, in units of the cell vectors:
1 Cu 0.0000 0.0000 0.0000  4 O 1.99
2 Cu 0.6257 0.6257 0.1229  6 O 1.99-2.03
3 Cu 0.6257 0.6257 0.6257  6 O 1.99-2.03
4 Cu 0.1229 0.6257 0.6257  6 O 1.99-2.03
5 Cu 0.6257 0.1229 0.6257  6 O 1.99-2.03
6 Ag 0.2500 0.2500 0.2500  4 O 2.11
7 O 0.3933 0.8201 0.3933  3 Cu 1.99, 1 Ag 2.11
8 O 0.8201 0.3933 0.3933  3 Cu 1.99, 1 Ag 2.11
9 O 0.3933 0.3933 0.3933  3 Cu 1.99, 1 Ag 2.11
10 O 0.3933 0.3933 0.8201  3 Cu 1.99, 1 Ag 2.11
11 O 0.8647 0.8647 0.4060  4 Cu 1.99-2.03
12 O 0.4060 0.8647 0.8647  4 Cu 1.99-2.03
13 O 0.8647 0.8647 0.8647  4 Cu 1.99-2.03
14 O 0.8647 0.4060 0.8647  4 Cu 1.99-2.03

=====

No. 6
Computed, not measured: CuAg2O2 after structural relaxation at the PBE-GGA level of DFT.

Computed properties:
Space-group type: No. 12
Calculated volume, Å³/cell: 65.2
M_tot, μB per atom: 0.110
VASP energy, eV/atom: -4.123
Energy relative to the elements, uncorrected, meV/atom: -180

Unit cell a=2.9030 b=5.3702 c=5.0387 alpha=61.44 beta=73.26 gamma=74.32
Closest atoms and distances in Å follow each position.
Sites, in units of the cell vectors:
1 Cu 0.0000 0.0000 0.0000  4 O 1.95
2 Ag 0.1786 0.2790 0.3638  3 O 2.38-2.53
3 Ag 0.8214 0.7210 0.6362  3 O 2.38-2.53
4 O 0.5741 0.7218 0.1300  2 Cu 1.95
5 O 0.4259 0.2782 0.8700  2 Cu 1.95

=====

No. 7
Computed, not measured: Cu2AgO after structural relaxation at the PBE-GGA level of DFT.

Computed properties:
Space-group type: No. 166
Calculated volume, Å³/cell: 49.7
M_tot, μB per atom: 0.000
VASP energy, eV/atom: -4.111
Energy relative to the elements, uncorrected, meV/atom: -110

Unit cell a=2.8976 b=2.8976 c=7.0426 alpha=78.13 beta=78.13 gamma=60.00
Closest atoms and distances in Å follow each position.
Sites, in units of the cell vectors:
1 O 0.0000 0.0000 0.0000  6 Cu 2.10
2 Cu 0.7289 0.7289 0.8133  3 O 2.10
3 Cu 0.2711 0.2711 0.1867  3 O 2.10
4 Ag 0.5000 0.5000 0.5000  6 Cu 2.72, 6 Ag 2.90

=====

No. 8
Computed, not measured: CuAgO after structural relaxation at the PBE-GGA level of DFT.

Computed properties:
Space-group type: No. 187
Calculated volume, Å³/cell: 41.0
M_tot, μB per atom: 0.000
VASP energy, eV/atom: -4.069
Energy relative to the elements, uncorrected, meV/atom: -101

Unit cell a=4.1362 b=3.3822 c=3.3822 alpha=120.00 beta=90.00 gamma=90.00
Closest atoms and distances in Å follow each position.
Sites, in units of the cell vectors:
1 O 0.1667 0.6667 0.3333  3 Cu 1.95
2 Cu 0.1666 0.0000 0.0000  3 O 1.95
3 Ag 0.6667 0.3333 0.6667  6 Cu 2.84, 6 O 2.84